Entry 1:
Zr2ZnGaIr: relaxed, PBE-GGA.

Cell: 4.892 4.530 4.892 Å, 90.00 90.00 90.00°
Sites, in units of the cell vectors:
Ir 0.000 0.500 0.000
Ga 0.500 0.500 0.500
Zr 0.500 0.000 0.000
Zn 0.000 0.000 0.000
Zr 0.000 0.000 0.500



Entry 2:
Zr2GaIr3: relaxed, PBE-GGA.

Cell: 5.426 5.426 7.977 Å, 90.00 90.00 120.00°
Sites, in units of the cell vectors:
Ir 0.660 0.830 0.250
Ir 0.830 0.170 0.750
Ir 0.830 0.660 0.750
Zr 0.333 0.667 0.560
Ir 0.340 0.170 0.750
Ga 0.000 0.000 0.500
Zr 0.667 0.333 0.440
Zr 0.667 0.333 0.060
Ir 0.170 0.340 0.250
Ir 0.170 0.830 0.250
Ga 0.000 0.000 0.000
Zr 0.333 0.667 0.940



Entry 3:
Zr2GaIr2: relaxed, PBE-GGA.

Cell: 7.853 7.853 3.126 Å, 90.00 90.00 90.00°
Sites, in units of the cell vectors:
Zr 0.342 0.842 0.000
Zr 0.658 0.158 0.000
Ir 0.635 0.865 0.500
Ir 0.865 0.365 0.500
Ga 0.500 0.500 0.000
Zr 0.842 0.658 0.000
Ir 0.135 0.635 0.500
Ga 0.000 0.000 0.000
Zr 0.158 0.342 0.000
Ir 0.365 0.135 0.500



Entry 4:
ZrGa2Ir: relaxed, PBE-GGA.

Cell: 4.109 6.558 10.072 Å, 90.00 90.00 90.00°
Sites, in units of the cell vectors:
Zr 0.250 0.231 0.672
Ga 0.750 0.049 0.838
Ga 0.250 0.451 0.338
Zr 0.250 0.731 0.828
Zr 0.750 0.269 0.172
Ir 0.750 0.436 0.903
Ga 0.750 0.278 0.464
Ir 0.250 0.564 0.097
Ga 0.750 0.778 0.036
Ga 0.250 0.722 0.536
Zr 0.750 0.769 0.328
Ga 0.250 0.951 0.162
Ga 0.750 0.549 0.662
Ga 0.250 0.222 0.964
Ir 0.250 0.064 0.403
Ir 0.750 0.936 0.597



| no. | DFT formation energy (meV per atom) |
| --- | --- |
| 1 | 519 |
| 2 | -777 |
| 3 | -474 |
| 4 | -639 |